A geometry-optimized Ag2TeSe2 structure, computed with PBE.

## Properties
density	6.6	Mg/m³
ΔE_f (raw)	0.020	eV/atom
ΔE to the lowest computed polymorph	0	meV per atom
space group	No. 12

```
Ag2TeSe2
1.0
-1.718 2.234 2.686
-4.380 1.132 -0.921
-5.722 -5.186 3.477
Ag Te Se
2 1 2
Direct
0.162 0.276 0.400 Ag
0.838 0.724 0.600 Ag
0.000 0.000 0.000 Te
0.472 0.788 0.269 Se
0.528 0.212 0.731 Se
```



A geometry-optimized ZnPd4Rh structure, computed with PBE.

## Properties
density	10.6	Mg/m³
ΔE_f	-0.05	eV per atom
space group	No. 70

```
ZnPd4Rh
1.0
8.061 1.323 3.092
-2.918 4.338 -1.084
0.880 -1.308 5.101
Zn Pd Rh
2 8 2
Direct
0.000 0.000 0.000 Zn
0.500 0.250 0.250 Zn
0.314 0.408 0.095 Pd
0.686 0.591 0.906 Pd
0.186 0.344 0.659 Pd
0.186 0.842 0.155 Pd
0.814 0.155 0.842 Pd
0.314 0.906 0.591 Pd
0.814 0.659 0.344 Pd
0.686 0.095 0.408 Pd
0.500 0.750 0.750 Rh
0.000 0.500 0.500 Rh
```



A geometry-optimized Os2W structure, computed with PBE.

## Properties
density	20.9	Mg/m³
ΔE to the lowest computed polymorph	117	meV per atom
ΔE_f	0.12	eV per atom
space group	No. 71

```
Os2W
1.0
-0.474 -4.714 0.828
-3.934 -1.714 2.173
1.773 2.470 -3.727
Os W
2 1
Direct
0.670 0.670 0.000 Os
0.330 0.330 0.000 Os
0.000 0.000 0.000 W
```



A geometry-optimized TmPu4 structure, computed with PBE.

## Properties
density	11.2	Mg/m³
ΔE_f	1.16	eV per atom
space group	No. 221

```
TmPu4
1.0
-4.139 -2.893 -2.278
0.669 -3.961 3.815
-3.621 2.575 3.309
Tm Pu
1 4
Direct
0.500 0.500 0.500 Tm
0.000 0.000 0.000 Pu
0.500 0.000 0.500 Pu
0.000 0.500 0.500 Pu
0.500 0.500 0.000 Pu
```



A geometry-optimized TcGe2BiRu structure, computed with PBE.

## Properties
density	7.5	Mg/m³
ΔE_f	0.93	eV per atom
space group	No. 123

```
TcGe2BiRu
1.0
4.652 0.000 0.000
0.000 5.629 0.000
0.000 0.000 4.652
Ru Ge Bi Tc
1 2 1 1
Direct
0.000 0.000 0.000 Ru
0.000 0.000 0.500 Ge
0.500 0.000 0.000 Ge
0.000 0.500 0.000 Bi
0.500 0.500 0.500 Tc
```



A geometry-optimized GdSbAu structure, computed with PBE.

## Properties
density	10.4	Mg/m³
ΔE_f (raw)	-0.809	eV/atom
space group	No. 156

```
GdSbAu
1.0
4.241 0.000 0.000
0.000 4.554 0.000
0.000 -2.277 3.944
Sb Gd Au
1 1 1
Direct
0.246 0.333 0.667 Sb
0.696 0.667 0.333 Gd
0.058 0.000 0.000 Au
```



A geometry-optimized Pu2P structure, computed with PBE.

## Properties
density	12.4	Mg/m³
ΔE_f	-0.67	eV per atom
space group	No. 62

```
Pu2P
1.0
-0.606 0.330 3.691
-4.245 -6.250 -0.138
7.954 -5.442 1.792
Pu P
8 4
Direct
0.750 0.548 0.681 Pu
0.250 0.952 0.181 Pu
0.750 0.048 0.819 Pu
0.250 0.452 0.319 Pu
0.750 0.311 0.049 Pu
0.250 0.189 0.549 Pu
0.750 0.811 0.451 Pu
0.250 0.689 0.951 Pu
0.750 0.659 0.174 P
0.250 0.841 0.674 P
0.750 0.159 0.326 P
0.250 0.341 0.826 P
```



A geometry-optimized Ga2NiOs structure, computed with PBE.

## Properties
density	10.6	Mg/m³
ΔE to the lowest computed polymorph	504	meV per atom
ΔE_f	0.34	eV per atom
space group	No. 122

```
Ga2NiOs
1.0
-0.204 2.947 -2.350
1.382 -2.131 -2.793
-7.373 -1.888 -4.758
Ni Os Ga
2 2 4
Direct
0.500 0.500 0.000 Ni
0.250 0.750 0.500 Ni
0.000 0.000 0.000 Os
0.750 0.250 0.500 Os
0.622 0.125 0.250 Ga
0.128 0.625 0.250 Ga
0.375 0.378 0.750 Ga
0.875 0.872 0.750 Ga
```



A geometry-optimized Zr2TlNi structure, computed with PBE.

## Properties
density	9.3	Mg/m³
ΔE to the lowest computed polymorph	0	meV per atom
ΔE_f	-0.18	eV per atom
space group	No. 123

```
Zr2TlNi
1.0
3.099 0.023 0.000
-0.021 3.099 0.000
0.000 0.000 8.249
Ni Tl Zr
1 1 2
Direct
0.500 0.500 0.250 Ni
0.500 0.500 0.750 Tl
0.000 0.000 0.042 Zr
0.000 0.000 0.458 Zr
```



A geometry-optimized Ac2Tb2Dy15 structure, computed with PBE.

## Properties
density	8.2	Mg/m³
ΔE_f	0.29	eV per atom
space group	No. 166

```
Ac2Tb2Dy15
1.0
-5.425 6.162 3.096
-6.998 -1.461 -5.087
-4.843 -4.866 5.464
Ac Tb Dy
2 2 15
Direct
0.113 0.113 0.113 Ac
0.887 0.887 0.887 Ac
0.331 0.331 0.331 Tb
0.669 0.669 0.669 Tb
0.000 0.000 0.500 Dy
0.500 0.000 0.000 Dy
0.000 0.500 0.000 Dy
0.307 0.693 0.000 Dy
0.000 0.307 0.693 Dy
0.693 0.000 0.307 Dy
0.000 0.693 0.307 Dy
0.307 0.000 0.693 Dy
0.693 0.307 0.000 Dy
0.629 0.629 0.156 Dy
0.156 0.629 0.629 Dy
0.629 0.156 0.629 Dy
0.371 0.371 0.844 Dy
0.844 0.371 0.371 Dy
0.371 0.844 0.371 Dy
```



A geometry-optimized Pm4Te3P structure, computed with PBE.

## Properties
density	6.9	Mg/m³
ΔE_f (raw)	-1.502	eV/atom
space group	No. 65

```
Pm4Te3P
1.0
4.319 0.000 0.000
0.000 7.658 -0.023
0.000 -2.436 7.260
Pm Te P
4 3 1
Direct
0.000 0.218 0.218 Pm
0.500 0.771 0.229 Pm
0.000 0.782 0.782 Pm
0.500 0.229 0.771 Pm
0.000 0.000 0.500 Te
0.500 0.500 0.500 Te
0.000 0.500 0.000 Te
0.500 0.000 0.000 P
```



A geometry-optimized PmSm2Dy3P6 structure, computed with PBE.

## Properties
density	6.5	Mg/m³
ΔE_f	-1.59	eV per atom
space group	No. 12

```
PmSm2Dy3P6
1.0
7.035 0.000 0.001
-3.516 6.093 0.001
-1.173 -2.031 6.632
Pm Sm Dy P
1 2 3 6
Direct
0.000 0.000 0.000 Pm
0.333 0.667 0.000 Sm
0.667 0.333 0.000 Sm
0.167 0.833 0.500 Dy
0.833 0.167 0.500 Dy
0.500 0.500 0.500 Dy
0.915 0.580 0.743 P
0.751 0.751 0.257 P
0.085 0.420 0.257 P
0.580 0.915 0.743 P
0.249 0.249 0.743 P
0.420 0.085 0.257 P
```



Question: density of number 4 (TmPu4)?
Answer: 11.2 Mg/m³



Question: Which of these has the lowest density?
Answer: PmSm2Dy3P6